An optimized crystal structure of Re2Ni. Source: Alexandria, functional GGA-PBE.

Summary:
For the density of states at the Fermi level, the calculation gives 1.55 states/eV/atom. Its distance to the lowest polymorph of the same formula is 999 meV per atom. As for the total energy: -27.79 eV/cell. The formation enthalpy at 0 K comes out at 279 kJ/mol of formula units.

```
data_Re2Ni
_chemical_formula_sum 'Re2 Ni1'
_symmetry_space_group_name_H-M 'P 4/m m m'
_symmetry_Int_Tables_number 123
_symmetry_space_group_name_Hall '-P 4 2'
_cell_length_a 4.240
_cell_length_b 4.240
_cell_length_c 2.596
_cell_angle_alpha 90.00
_cell_angle_beta 90.00
_cell_angle_gamma 90.00
loop_
_atom_site_label
_atom_site_type_symbol
_atom_site_fract_x
_atom_site_fract_y
_atom_site_fract_z
Re1 Re 0.000 0.500 0.000
Ni1 Ni 0.000 0.000 0.500
```

An optimized crystal structure of Re2Ni. Source: Alexandria, functional GGA-PBE.

Summary:
For the density of states at the Fermi level, the calculation gives 0.88 states/eV/atom. Its distance to the lowest polymorph of the same formula is 60 meV per atom. As for the total energy: -61.21 eV/cell. The formation enthalpy at 0 K comes out at 7 kJ/mol of formula units.

```
data_Re2Ni
_chemical_formula_sum 'Re4 Ni2'
_symmetry_space_group_name_H-M 'I m m m'
_symmetry_Int_Tables_number 71
_symmetry_space_group_name_Hall '-I 2 2'
_cell_length_a 2.626
_cell_length_b 3.942
_cell_length_c 7.993
_cell_angle_alpha 90.00
_cell_angle_beta 90.00
_cell_angle_gamma 90.00
loop_
_atom_site_label
_atom_site_type_symbol
_atom_site_fract_x
_atom_site_fract_y
_atom_site_fract_z
Re1 Re 0.000 0.000 0.164
Ni1 Ni 0.000 0.000 0.500
```

An optimized crystal structure of Re3Ni. Source: Alexandria, functional GGA-PBE.

Summary:
For the density of states at the Fermi level, the calculation gives 0.93 states/eV/atom. As for the total energy: -43.15 eV/cell. The formation enthalpy at 0 K comes out at -2 kJ/mol of formula units.

```
data_Re3Ni
_chemical_formula_sum 'Re3 Ni1'
_symmetry_space_group_name_H-M 'P m m 2'
_symmetry_Int_Tables_number 25
_symmetry_space_group_name_Hall 'P 2 -2'
_cell_length_a 2.746
_cell_length_b 4.345
_cell_length_c 4.730
_cell_angle_alpha 90.00
_cell_angle_beta 90.00
_cell_angle_gamma 90.00
loop_
_atom_site_label
_atom_site_type_symbol
_atom_site_fract_x
_atom_site_fract_y
_atom_site_fract_z
Re1 Re 0.000 0.000 0.000
Re2 Re 0.000 0.500 0.332
Re3 Re 0.500 0.500 0.817
Ni1 Ni 0.500 0.000 0.486
```

Question: Which value of formation enthalpy at 0 K does entry 1 give?
Answer: 279 kJ/mol of formula units

Please write out number 3 again, unchanged.
An optimized crystal structure of Re3Ni. Source: Alexandria, functional GGA-PBE.

Summary:
For the density of states at the Fermi level, the calculation gives 0.93 states/eV/atom. As for the total energy: -43.15 eV/cell. The formation enthalpy at 0 K comes out at -2 kJ/mol of formula units.

```
data_Re3Ni
_chemical_formula_sum 'Re3 Ni1'
_symmetry_space_group_name_H-M 'P m m 2'
_symmetry_Int_Tables_number 25
_symmetry_space_group_name_Hall 'P 2 -2'
_cell_length_a 2.746
_cell_length_b 4.345
_cell_length_c 4.730
_cell_angle_alpha 90.00
_cell_angle_beta 90.00
_cell_angle_gamma 90.00
loop_
_atom_site_label
_atom_site_type_symbol
_atom_site_fract_x
_atom_site_fract_y
_atom_site_fract_z
Re1 Re 0.000 0.000 0.000
Re2 Re 0.000 0.500 0.332
Re3 Re 0.500 0.500 0.817
Ni1 Ni 0.500 0.000 0.486
```

Question: The lowest total energy belongs to which entry?
Answer: number 2

Copy entry 1 word for word.
An optimized crystal structure of Re2Ni. Source: Alexandria, functional GGA-PBE.

Summary:
For the density of states at the Fermi level, the calculation gives 1.55 states/eV/atom. Its distance to the lowest polymorph of the same formula is 999 meV per atom. As for the total energy: -27.79 eV/cell. The formation enthalpy at 0 K comes out at 279 kJ/mol of formula units.

```
data_Re2Ni
_chemical_formula_sum 'Re2 Ni1'
_symmetry_space_group_name_H-M 'P 4/m m m'
_symmetry_Int_Tables_number 123
_symmetry_space_group_name_Hall '-P 4 2'
_cell_length_a 4.240
_cell_length_b 4.240
_cell_length_c 2.596
_cell_angle_alpha 90.00
_cell_angle_beta 90.00
_cell_angle_gamma 90.00
loop_
_atom_site_label
_atom_site_type_symbol
_atom_site_fract_x
_atom_site_fract_y
_atom_site_fract_z
Re1 Re 0.000 0.500 0.000
Ni1 Ni 0.000 0.000 0.500
```